# 1
# BaPu (PBE-GGA, optimized geometry)
# - spin magnetization (μB/cell) = 24.30
# - offset from the most stable computed form (eV/atom) = 0.439
data_BaPu
_cell_length_a 6.9923
_cell_length_b 6.9923
_cell_length_c 6.9923
_cell_angle_alpha 90.00
_cell_angle_beta 90.00
_cell_angle_gamma 90.00
_space_group_name_H-M_alt 'F m -3 m'
_space_group_IT_number 225
_space_group_name_Hall '-F 4 2 3'
loop_
_atom_site_label
_atom_site_fract_x
_atom_site_fract_y
_atom_site_fract_z
Ba1 0.0000 0.0000 0.0000
Pu1 0.0000 0.0000 0.5000

# 2
# BaPu (PBE-GGA, optimized geometry)
# - spin magnetization (μB/cell) = 6.25
# - offset from the most stable computed form (eV/atom) = 0.135
data_BaPu
_cell_length_a 6.1341
_cell_length_b 6.1341
_cell_length_c 4.7401
_cell_angle_alpha 90.00
_cell_angle_beta 90.00
_cell_angle_gamma 120.00
_space_group_name_H-M_alt 'P 63/m m c'
_space_group_IT_number 194
_space_group_name_Hall '-P 6c 2c'
loop_
_atom_site_label
_atom_site_fract_x
_atom_site_fract_y
_atom_site_fract_z
Ba1 0.3333 0.6667 0.2500
Pu1 0.0000 0.0000 0.0000

# 3
# BaPu (PBE-GGA, optimized geometry)
# - spin magnetization (μB/cell) = 28.11
# - offset from the most stable computed form (eV/atom) = 1.088
data_BaPu
_cell_length_a 7.3791
_cell_length_b 7.3791
_cell_length_c 7.3791
_cell_angle_alpha 90.00
_cell_angle_beta 90.00
_cell_angle_gamma 90.00
_space_group_name_H-M_alt 'F -4 3 m'
_space_group_IT_number 216
_space_group_name_Hall 'F -4 2 3'
loop_
_atom_site_label
_atom_site_fract_x
_atom_site_fract_y
_atom_site_fract_z
Ba1 0.0000 0.0000 0.0000
Pu1 0.2500 0.2500 0.7500

# 4
# BaPu (PBE-GGA, optimized geometry)
# - spin magnetization (μB/cell) = 14.72
# - offset from the most stable computed form (eV/atom) = 1.058
data_BaPu
_cell_length_a 5.3484
_cell_length_b 5.3484
_cell_length_c 8.8961
_cell_angle_alpha 90.00
_cell_angle_beta 90.00
_cell_angle_gamma 120.00
_space_group_name_H-M_alt 'P 63 m c'
_space_group_IT_number 186
_space_group_name_Hall 'P 6c -2c'
loop_
_atom_site_label
_atom_site_fract_x
_atom_site_fract_y
_atom_site_fract_z
Ba1 0.3333 0.6667 0.0000
Pu1 0.3333 0.6667 0.3695

# 5
# RbBaPu (PBE-GGA, optimized geometry)
# - spin magnetization (μB/cell) = 35.82
# - offset from the most stable computed form (eV/atom) = 0.000
data_RbBaPu
_cell_length_a 8.9210
_cell_length_b 8.9210
_cell_length_c 8.9210
_cell_angle_alpha 90.00
_cell_angle_beta 90.00
_cell_angle_gamma 90.00
_space_group_name_H-M_alt 'F -4 3 m'
_space_group_IT_number 216
_space_group_name_Hall 'F -4 2 3'
loop_
_atom_site_label
_atom_site_fract_x
_atom_site_fract_y
_atom_site_fract_z
Rb1 0.0000 0.0000 0.0000
Ba1 0.0000 0.0000 0.5000
Pu1 0.2500 0.2500 0.2500

# 6
# BaPuRe (PBE-GGA, optimized geometry)
# - spin magnetization (μB/cell) = 19.29
# - offset from the most stable computed form (eV/atom) = 0.000
data_BaPuRe
_cell_length_a 7.0617
_cell_length_b 7.0617
_cell_length_c 7.0617
_cell_angle_alpha 90.00
_cell_angle_beta 90.00
_cell_angle_gamma 90.00
_space_group_name_H-M_alt 'F -4 3 m'
_space_group_IT_number 216
_space_group_name_Hall 'F -4 2 3'
loop_
_atom_site_label
_atom_site_fract_x
_atom_site_fract_y
_atom_site_fract_z
Ba1 0.0000 0.0000 0.0000
Pu1 0.0000 0.0000 0.5000
Re1 0.2500 0.2500 0.7500

# 7
# BaPuRe (PBE-GGA, optimized geometry)
# - spin magnetization (μB/cell) = 0.00
# - offset from the most stable computed form (eV/atom) = 1.486
data_BaPuRe
_cell_length_a 6.6160
_cell_length_b 6.6160
_cell_length_c 6.6160
_cell_angle_alpha 90.00
_cell_angle_beta 90.00
_cell_angle_gamma 90.00
_space_group_name_H-M_alt 'F -4 3 m'
_space_group_IT_number 216
_space_group_name_Hall 'F -4 2 3'
loop_
_atom_site_label
_atom_site_fract_x
_atom_site_fract_y
_atom_site_fract_z
Ba1 0.0000 0.0000 0.0000
Pu1 0.2500 0.2500 0.7500
Re1 0.2500 0.2500 0.2500

# 8
# BaPuSc (PBE-GGA, optimized geometry)
# - raw total energy (eV per cell) = -63.60
# - spin magnetization (μB/cell) = 9.60
data_BaPuSc
_cell_length_a 9.0368
_cell_length_b 9.0368
_cell_length_c 9.0368
_cell_angle_alpha 90.00
_cell_angle_beta 90.00
_cell_angle_gamma 90.00
_space_group_name_H-M_alt 'F -4 3 m'
_space_group_IT_number 216
_space_group_name_Hall 'F -4 2 3'
loop_
_atom_site_label
_atom_site_fract_x
_atom_site_fract_y
_atom_site_fract_z
Ba1 0.0000 0.0000 0.0000
Pu1 0.0000 0.0000 0.5000
Sc1 0.2500 0.2500 0.2500